# 1
Here is crystalline Pm2Ho9Tm at its relaxed geometry from Alexandria. Energies are from GGA-PBE.

Cell: 5.8799 5.8799 10.9866 Å, 90.00 90.00 90.00°
Space group P4/mmm (No. 123)
One atom of each set of equivalent atoms:
Pm1 0.0000 0.0000 0.1659 x2
Ho1 0.0000 0.5000 0.0000 x2
Ho2 0.0000 0.5000 0.3366 x4
Ho3 0.5000 0.5000 0.1655 x2
Ho4 0.5000 0.5000 0.5000 x1
Tm1 0.0000 0.0000 0.5000 x1

Calculated values
The formation energy is 145 kJ/mol of formula units. The calculation puts the energy above the most stable polymorph in this dataset at 54.6 meV per atom.

# 2
Here is crystalline TbZrAg at its relaxed geometry from Alexandria. Energies are from GGA-PBE.

Cell: 4.9684 4.9684 3.4090 Å, 90.00 90.00 120.00°
Space group P3m1 (No. 156)
One atom of each set of equivalent atoms:
Tb1 0.0000 0.0000 0.0000 x1
Zr1 0.3333 0.6667 0.4640 x1
Ag1 0.6667 0.3333 0.5930 x1

Calculated values
The formation energy is 41 kJ/mol of formula units. The calculation puts the energy above the most stable polymorph in this dataset at 217.5 meV per atom.

# 3
Here is crystalline Sr2Co2Pd at its relaxed geometry from Alexandria. Energies are from GGA-PBE.

Cell: 8.4322 8.4322 3.5060 Å, 90.00 90.00 90.00°
Space group P4/mbm (No. 127)
One atom of each set of equivalent atoms:
Sr1 0.1918 0.3082 0.0000 x4
Co1 0.0892 0.5892 0.5000 x4
Pd1 0.0000 0.0000 0.0000 x2

Calculated values
The formation energy is 266 kJ/mol of formula units. The calculation puts the energy above the most stable polymorph in this dataset at 456.2 meV per atom.

# 4
Here is crystalline Ba3NdSn2O9 at its relaxed geometry from Alexandria. Energies are from GGA-PBE.

Cell: 6.1053 6.1053 7.5569 Å, 90.00 90.00 120.00°
Space group P-3m1 (No. 164)
One atom of each set of equivalent atoms:
Ba1 0.0000 0.0000 0.0000 x1
Ba2 0.3333 0.6667 0.6775 x2
Nd1 0.0000 0.0000 0.5000 x1
Sn1 0.3333 0.6667 0.1606 x2
O1 0.0000 0.5000 0.0000 x3
O2 0.1741 0.3482 0.3155 x6

# 5
Here is crystalline Sm3ScSn12 at its relaxed geometry from Alexandria. Energies are from GGA-PBE.

Cell: 4.7416 4.7416 18.6719 Å, 90.00 90.00 90.00°
Space group P4/mmm (No. 123)
One atom of each set of equivalent atoms:
Sm1 0.0000 0.0000 0.0000 x1
Sm2 0.0000 0.0000 0.2535 x2
Sc1 0.0000 0.0000 0.5000 x1
Sn1 0.0000 0.5000 0.1274 x4
Sn2 0.0000 0.5000 0.3822 x4
Sn3 0.5000 0.5000 0.0000 x1
Sn4 0.5000 0.5000 0.2552 x2
Sn5 0.5000 0.5000 0.5000 x1

Calculated values
The formation energy is -663 kJ/mol of formula units.

# 6
Here is crystalline Pa2RhSe4S at its relaxed geometry from Alexandria. Energies are from GGA-PBE.

Cell: 11.5164 3.9460 7.9334 Å, 90.00 109.02 90.00°
Space group C2/m (No. 12)
One atom of each set of equivalent atoms:
Pa1 0.1511 0.0000 0.1871 x4
Rh1 0.0000 0.0000 0.5000 x2
Se1 0.1339 0.5000 0.4603 x4
Se2 0.1647 0.0000 0.8147 x4
S1 0.0000 0.5000 0.0000 x2

# 7
Here is crystalline PmEr2Tl3Se6 at its relaxed geometry from Alexandria. Energies are from GGA-PBE.

Cell: 7.2774 12.6024 8.1411 Å, 90.00 107.33 90.00°
Space group C2/m (No. 12)
One atom of each set of equivalent atoms:
Pm1 0.0000 0.0000 0.0000 x2
Er1 0.0000 0.3332 0.0000 x4
Tl1 0.0000 0.1648 0.5000 x4
Tl2 0.0000 0.5000 0.5000 x2
Se1 0.2258 0.5000 0.2034 x4
Se2 0.2394 0.1710 0.2053 x8

# 8
Here is crystalline Ta5Nb4Pd at its relaxed geometry from Alexandria. Energies are from GGA-PBE.

Cell: 3.3182 3.3182 16.3117 Å, 90.00 90.00 90.00°
Space group P4/mmm (No. 123)
One atom of each set of equivalent atoms:
Ta1 0.0000 0.0000 0.0000 x1
Ta2 0.0000 0.0000 0.2051 x2
Ta3 0.0000 0.0000 0.4010 x2
Nb1 0.5000 0.5000 0.1008 x2
Nb2 0.5000 0.5000 0.3048 x2
Pd1 0.5000 0.5000 0.5000 x1

Calculated values
The formation energy is -66 kJ/mol of formula units.

Sequential energy output: -53.67, -15.60, -40.02, -98.02, -75.40, -107.57, -116.88, -105.42 eV per cell
Sequential total moment output: 0.00, 0.00, 6.50, 0.68, 0.00, 1.29, 0.00, 0.00 μB/cell